Record 1
## Tb2AlGe3Pd4 (GGA-PBE)

Data for an optimized crystal structure of Tb2AlGe3Pd4.

Cell lengths 4.234, 4.234, 10.380 Å; angles 90.00, 90.00, 90.00 degrees
Element x y z (fractional)
Tb  0.500  0.000  0.248
Tb  0.000  0.500  0.752
Pd  0.000  0.500  0.368
Pd  0.500  0.500  0.000
Pd  0.000  0.000  0.000
Pd  0.500  0.000  0.632
Ge  0.000  0.500  0.133
Ge  0.500  0.000  0.867
Ge  0.000  0.000  0.500
Al  0.500  0.500  0.500

Calculated values
The calculation puts the density at 8.8 Mg/m³. As for the space-group type: P-4m2, No. 115. As for the energy of formation from the pure elements: -832 meV/atom. The value obtained for the density of states at the Fermi level is 0.613 states/eV per atom.



Record 2
## K3H4N2 (GGA-PBE)

Data for an optimized crystal structure of K3H4N2.

Cell lengths 4.058, 7.910, 7.910 Å; angles 59.23, 75.14, 75.14 degrees
Element x y z (fractional)
H  0.938  0.766  0.358
H  0.062  0.642  0.234
H  0.938  0.358  0.766
H  0.062  0.234  0.642
K  0.386  0.114  0.114
K  0.500  0.500  0.500
K  0.614  0.886  0.886
N  0.000  0.215  0.785
N  0.000  0.785  0.215

Calculated values
The calculation puts the density at 1.2 Mg/m³. As for the space-group type: Immm, No. 71. Its total energy is -3.968 eV per atom. The value obtained for the density of states at the Fermi level is 0.169 states/eV per atom.



Record 3
## RbSn2C (GGA-PBE)

Data for an optimized crystal structure of RbSn2C.

Cell lengths 7.147, 7.147, 7.117 Å; angles 59.86, 59.86, 90.00 degrees
Element x y z (fractional)
Sn  0.375  0.523  0.750
Sn  0.273  0.625  0.250
Sn  0.477  0.125  0.250
Sn  0.875  0.727  0.750
C  0.500  0.500  0.000
C  0.250  0.750  0.500
Rb  0.000  0.000  0.000
Rb  0.750  0.250  0.500

Calculated values
The calculation puts the density at 4.3 Mg/m³. As for the space-group type: I-42d, No. 122. As for the energy of formation from the pure elements: 813 meV/atom. The value obtained for the density of states at the Fermi level is 0.478 states/eV per atom.



Record 4
## LaCeRh (GGA-PBE)

Data for an optimized crystal structure of LaCeRh.

Cell lengths 3.541, 3.537, 12.620 Å; angles 73.99, 89.58, 90.01 degrees
Element x y z (fractional)
Rh  0.249  0.049  0.702
Rh  0.751  0.951  0.298
La  0.753  0.376  0.872
La  0.247  0.624  0.128
Ce  0.252  0.334  0.414
Ce  0.748  0.666  0.586

Calculated values
The calculation puts the density at 8.3 Mg/m³. The value obtained for the energy above the most stable polymorph in this dataset is 0.19 eV per formula unit. As for the space-group type: P-1, No. 2. As for the energy of formation from the pure elements: -460 meV/atom. The value obtained for the density of states at the Fermi level is 1.580 states/eV per atom.



Record 5
## NdTl5Te5 (GGA-PBE)

Data for an optimized crystal structure of NdTl5Te5.

Cell lengths 6.295, 8.290, 9.682 Å; angles 107.27, 90.00, 112.31 degrees
Element x y z (fractional)
Te  0.845  0.690  0.163
Te  0.155  0.310  0.837
Te  0.842  0.684  0.683
Te  0.158  0.316  0.317
Te  0.500  0.000  0.000
Tl  0.000  0.000  0.500
Tl  0.679  0.357  0.315
Tl  0.683  0.367  0.856
Tl  0.317  0.633  0.144
Tl  0.321  0.643  0.685
Nd  0.000  0.000  0.000

Calculated values
The calculation puts the density at 6.8 Mg/m³. As for the space-group type: C2/m, No. 12. The value obtained for the density of states at the Fermi level is 0.402 states/eV per atom. The formation energy (no corrections) comes out at -476 meV/atom.



Record 6
## Zn2HIBr (GGA-PBE)

Data for an optimized crystal structure of Zn2HIBr.

Cell lengths 5.486, 3.845, 5.486 Å; angles 90.00, 90.00, 90.00 degrees
Element x y z (fractional)
Br  0.500  0.500  0.500
I  0.000  0.500  0.000
H  0.000  0.000  0.000
Zn  0.500  0.000  0.000
Zn  0.000  0.000  0.500

Calculated values
The calculation puts the density at 4.9 Mg/m³. As for the space-group type: P4/mmm, No. 123. Its total energy is -1.445 eV per atom. The value obtained for the density of states at the Fermi level is 0.591 states/eV per atom.



Record 7
## Tb3Ga2Ru3C (GGA-PBE)

Data for an optimized crystal structure of Tb3Ga2Ru3C.

Cell lengths 3.456, 7.265, 7.265 Å; angles 120.00, 90.00, 90.00 degrees
Element x y z (fractional)
Ru  0.500  0.221  0.221
Ru  0.500  0.000  0.779
Ru  0.500  0.779  0.000
Ga  0.500  0.667  0.333
Ga  0.500  0.333  0.667
C  0.000  0.000  0.000
Tb  0.000  0.365  0.000
Tb  0.000  0.635  0.635
Tb  0.000  0.000  0.365

Calculated values
The calculation puts the density at 9.8 Mg/m³. As for the space-group type: P-62m, No. 189. As for the energy of formation from the pure elements: -260 meV/atom. The value obtained for the density of states at the Fermi level is 0.521 states/eV per atom.



Record 8
## Tm2TlCl7 (GGA-PBE)

Data for an optimized crystal structure of Tm2TlCl7.

Cell lengths 5.206, 7.955, 7.955 Å; angles 116.21, 90.00, 90.00 degrees
Element x y z (fractional)
Cl  0.000  0.296  0.704
Cl  0.500  0.500  0.500
Cl  0.500  0.952  0.672
Cl  0.500  0.672  0.952
Cl  0.500  0.328  0.048
Cl  0.500  0.048  0.328
Cl  0.000  0.704  0.296
Tl  0.000  0.000  0.000
Tm  0.500  0.697  0.303
Tm  0.500  0.303  0.697

Calculated values
The calculation puts the density at 4.4 Mg/m³. As for the space-group type: Cmmm, No. 65. The value obtained for the density of states at the Fermi level is 0.000 states/eV per atom. The formation energy (no corrections) comes out at -1998 meV/atom.